Li2InNiO4 after structural relaxation. Source: the Alexandria database, functional PBE+U.

Lattice parameters (Å, degrees): 5.230 3.095 5.284 90.00 109.43 90.00
Element x y z (fractional)
Li: 0.000 0.000 0.000
Li: 0.000 0.500 0.500
In: 0.500 0.000 0.500
Ni: 0.500 0.500 0.000
O: 0.263 0.000 0.767
O: 0.267 0.500 0.229
O: 0.733 0.500 0.771
O: 0.737 0.000 0.233

Output
For the total magnetization, the calculation gives 0.998 μB/f.u. As for the calculated total energy: -40.437 eV per cell.